Entry 1:
DFT (PBE) results for crystalline TaReRu2Rh at its relaxed geometry.

Cell and atoms, written as POSCAR:
```
TaReRu2Rh
1.0
-3.398 -3.107 -0.025
2.969 -3.236 -1.507
0.991 -1.119 4.355
Ru Rh Ta Re
2 1 1 1
Direct
0.500 0.000 0.000
0.000 0.000 0.500
0.000 0.500 0.000
0.500 0.500 0.500
0.000 0.000 0.000
```

Output
As for the formation energy: 1576 meV/atom.

---

Entry 2:
DFT (PBE) results for crystalline NaTbPmPb at its relaxed geometry.

Cell and atoms, written as POSCAR:
```
NaTbPmPb
1.0
-4.258 3.039 1.589
-2.343 -0.905 4.856
0.592 3.635 4.040
Tb Na Pb Pm
1 1 1 1
Direct
0.750 0.750 0.750
0.000 0.000 0.000
0.500 0.500 0.500
0.250 0.250 0.250
```

Output
As for the formation energy: -178 meV/atom.

---

Entry 3:
DFT (PBE) results for crystalline Be2NiTe at its relaxed geometry.

Cell and atoms, written as POSCAR:
```
Be2NiTe
1.0
3.733 -0.006 -0.020
1.872 3.230 -0.020
0.029 0.016 5.053
Ni Te Be
1 1 2
Direct
0.458 0.458 0.620
0.125 0.125 0.335
0.125 0.125 0.835
0.792 0.792 0.709
```

Output
Its electronic total energy is -4.050 eV per atom.

---

Entry 4:
DFT (PBE) results for crystalline FeReSi2 at its relaxed geometry.

Cell and atoms, written as POSCAR:
```
FeReSi2
1.0
-0.110 -0.259 -2.764
-2.328 -0.619 1.385
-2.255 7.178 -0.582
Re Si Fe
1 2 1
Direct
0.500 0.500 0.750
0.000 0.000 0.014
0.000 0.000 0.486
0.500 0.500 0.250
```

Output
Its electronic total energy is -7.916 eV per atom.

---

Entry 5:
DFT (PBE) results for crystalline La4Tb3Nd4 at its relaxed geometry.

Cell and atoms, written as POSCAR:
```
La4Tb3Nd4
1.0
-1.807 -5.508 0.708
4.993 1.987 4.118
-7.352 3.351 7.296
Tb Nd La
3 4 4
Direct
0.252 0.503 0.000
0.409 0.819 0.291
0.409 0.819 0.709
0.106 0.212 0.697
0.544 0.088 0.000
0.106 0.212 0.303
0.611 0.223 0.500
0.759 0.518 0.200
0.955 0.911 0.000
0.888 0.776 0.500
0.759 0.518 0.800
```

Output
As for the offset from the most stable computed form: 17 kJ/mol of formula units. As for the formation energy: 132 meV/atom.

---

Entry 6:
DFT (PBE) results for crystalline ThCdSi2Rh5 at its relaxed geometry.

Cell and atoms, written as POSCAR:
```
ThCdSi2Rh5
1.0
-3.003 0.360 -2.872
-2.820 -1.297 2.786
-1.367 8.267 2.465
Th Si Cd Rh
1 2 1 5
Direct
0.000 0.000 0.500
0.500 0.500 0.135
0.500 0.500 0.865
0.000 0.000 0.000
0.500 0.000 0.743
0.500 0.000 0.257
0.000 0.500 0.257
0.000 0.500 0.743
0.500 0.500 0.500
```

Output
Its electronic total energy is -6.867 eV per atom.

---

Entry 7:
DFT (PBE) results for crystalline HoTmMgSn at its relaxed geometry.

Cell and atoms, written as POSCAR:
```
HoTmMgSn
1.0
-1.082 -4.842 1.732
3.121 -2.273 3.564
-1.710 -0.710 4.918
Ho Mg Tm Sn
1 1 1 1
Direct
0.000 0.000 0.000
0.750 0.750 0.750
0.500 0.500 0.500
0.250 0.250 0.250
```

Output
As for the formation energy: -367 meV/atom.

---

Entry 8:
DFT (PBE) results for crystalline ThTl2CdTe4 at its relaxed geometry.

Cell and atoms, written as POSCAR:
```
ThTl2CdTe4
1.0
-0.861 2.358 3.725
-0.622 -6.619 4.046
8.241 2.672 0.215
Te Th Tl Cd
4 1 2 1
Direct
0.000 0.732 0.225
0.500 0.771 0.796
0.500 0.229 0.204
0.000 0.268 0.775
0.500 0.500 0.000
0.000 0.500 0.500
0.500 0.000 0.500
0.000 0.000 0.000
```

Output
Its electronic total energy is -3.859 eV per atom.

---

Entry 9:
DFT (PBE) results for crystalline Tb5Y2Ho4 at its relaxed geometry.

Cell and atoms, written as POSCAR:
```
Tb5Y2Ho4
1.0
-1.441 -6.114 2.122
5.803 -2.834 6.134
1.110 -0.357 10.086
Y Tb Ho
2 5 4
Direct
0.202 0.903 0.694
0.798 0.097 0.306
0.649 0.273 0.903
0.175 0.273 0.903
0.000 0.500 0.500
0.825 0.727 0.097
0.351 0.727 0.097
0.245 0.328 0.182
0.411 0.774 0.405
0.589 0.226 0.595
0.755 0.672 0.818
```

Output
As for the offset from the most stable computed form: 34 kJ/mol of formula units. As for the formation energy: 170 meV/atom.

---

Entry 10:
DFT (PBE) results for crystalline Tb2ErGe2Rh5 at its relaxed geometry.

Cell and atoms, written as POSCAR:
```
Tb2ErGe2Rh5
1.0
-1.652 -2.101 -2.502
4.335 -8.071 3.915
-7.763 -1.196 6.129
Rh Ge Tb Er
10 4 4 2
Direct
0.500 0.784 0.930
0.500 0.430 0.284
0.500 0.000 0.500
0.500 0.284 0.570
0.500 0.500 0.000
0.500 0.570 0.716
0.500 0.930 0.216
0.500 0.216 0.070
0.500 0.716 0.430
0.500 0.070 0.784
0.000 0.877 0.377
0.000 0.377 0.123
0.000 0.623 0.877
0.000 0.123 0.623
0.000 0.827 0.673
0.000 0.327 0.827
0.000 0.673 0.173
0.000 0.173 0.327
0.000 0.500 0.500
0.000 0.000 0.000
```

Output
As for the formation energy: -868 meV/atom.

---

Entry 11:
DFT (PBE) results for crystalline LiNbBiRh2 at its relaxed geometry.

Cell and atoms, written as POSCAR:
```
LiNbBiRh2
1.0
-2.141 0.614 3.637
0.932 -4.337 1.281
3.587 1.328 1.887
Nb Rh Li Bi
1 2 1 1
Direct
0.000 0.500 0.000
0.000 0.000 0.500
0.500 0.000 0.000
0.000 0.000 0.000
0.500 0.500 0.500
```

Output
As for the formation energy: 537 meV/atom.

---

Entry 12:
DFT (PBE) results for crystalline Sc2Os2S at its relaxed geometry.

Cell and atoms, written as POSCAR:
```
Sc2Os2S
1.0
-1.684 2.559 -1.769
-0.171 -2.085 -2.853
-7.593 -2.492 0.084
Os Sc S
2 2 1
Direct
0.250 0.750 0.500
0.750 0.250 0.500
0.604 0.604 0.793
0.396 0.396 0.207
0.000 0.000 0.000
```

Output
As for the offset from the most stable computed form: 0 kJ/mol of formula units.

---

Entry 13:
DFT (PBE) results for crystalline Be2CuC at its relaxed geometry.

Cell and atoms, written as POSCAR:
```
Be2CuC
1.0
4.094 0.000 0.000
0.000 4.094 0.000
2.047 2.047 5.194
Be Cu C
4 2 2
Direct
0.459 0.125 0.250
0.875 0.709 0.750
0.291 0.625 0.250
0.375 0.541 0.750
0.750 0.250 0.500
0.000 0.000 0.000
0.500 0.500 0.000
0.250 0.750 0.500
```

Output
As for the formation energy: 673 meV/atom.

---

Entry 14:
DFT (PBE) results for crystalline TlCd2As at its relaxed geometry.

Cell and atoms, written as POSCAR:
```
TlCd2As
1.0
3.459 0.000 0.000
0.000 3.459 0.000
0.000 0.000 8.209
Cd Tl As
2 1 1
Direct
0.000 0.000 0.961
0.000 0.000 0.539
0.500 0.500 0.250
0.500 0.500 0.750
```

Output
As for the offset from the most stable computed form: 54 kJ/mol of formula units. As for the formation energy: 152 meV/atom.

---

Entry 15:
DFT (PBE) results for crystalline CdIn2Pb5 at its relaxed geometry.

Cell and atoms, written as POSCAR:
```
CdIn2Pb5
1.0
4.805 0.000 0.000
0.000 7.003 0.000
0.000 0.000 14.082
Pb In Cd
10 4 2
Direct
0.000 0.019 0.751
0.500 0.773 0.617
0.000 0.481 0.251
0.500 0.273 0.883
0.000 0.000 0.000
0.000 0.519 0.749
0.000 0.500 0.500
0.500 0.727 0.117
0.500 0.227 0.383
0.000 0.981 0.249
0.500 0.760 0.874
0.500 0.740 0.374
0.500 0.260 0.626
0.500 0.240 0.126
0.000 0.500 0.000
0.000 0.000 0.500
```

Output
As for the offset from the most stable computed form: 0 kJ/mol of formula units. As for the formation energy: 23 meV/atom.

---

Entry 16:
DFT (PBE) results for crystalline LiHgSb2 at its relaxed geometry.

Cell and atoms, written as POSCAR:
```
LiHgSb2
1.0
-3.868 1.705 -0.833
0.622 -0.840 -4.603
-2.040 -4.373 0.522
Sb Hg Li
2 1 1
Direct
0.500 0.500 0.000
0.000 0.000 0.000
0.500 0.000 0.500
0.000 0.500 0.500
```

Output
Its electronic total energy is -2.710 eV per atom.

---

Entry 17:
DFT (PBE) results for crystalline HoU5N6 at its relaxed geometry.

Cell and atoms, written as POSCAR:
```
HoU5N6
1.0
5.845 -0.089 -1.104
-3.157 4.920 -1.104
0.116 0.208 5.962
N U Ho
6 5 1
Direct
0.581 0.917 0.751
0.917 0.581 0.751
0.252 0.252 0.752
0.083 0.419 0.249
0.419 0.083 0.249
0.748 0.748 0.248
0.500 0.500 0.500
0.165 0.835 0.500
0.334 0.666 0.000
0.835 0.165 0.500
0.666 0.334 0.000
0.000 0.000 0.000
```

Output
Its electronic total energy is -10.617 eV per atom.

---

Entry 18:
DFT (PBE) results for crystalline Be4NbMo at its relaxed geometry.

Cell and atoms, written as POSCAR:
```
Be4NbMo
1.0
4.548 0.000 0.000
2.274 3.939 0.000
2.274 1.313 3.713
Be Mo Nb
4 1 1
Direct
0.626 0.626 0.122
0.122 0.626 0.626
0.626 0.122 0.626
0.626 0.626 0.626
0.000 0.000 0.000
0.250 0.250 0.250
```

Output
As for the offset from the most stable computed form: 0 kJ/mol of formula units. As for the formation energy: -277 meV/atom.

---

Entry 19:
DFT (PBE) results for crystalline ThZnIn2 at its relaxed geometry.

Cell and atoms, written as POSCAR:
```
ThZnIn2
1.0
-1.723 -4.353 0.434
3.881 -1.714 -1.782
1.808 -0.295 4.221
Zn Th In
1 1 2
Direct
0.500 0.500 0.500
0.500 0.000 0.000
0.000 0.500 0.000
0.000 0.000 0.500
```

Output
As for the formation energy: -274 meV/atom.

---

Entry 20:
DFT (PBE) results for crystalline HgAu2Br at its relaxed geometry.

Cell and atoms, written as POSCAR:
```
HgAu2Br
1.0
-3.463 0.861 -0.873
-0.885 -3.763 -0.200
-1.688 0.052 6.747
Br Au Hg
1 2 1
Direct
0.500 0.250 0.250
0.000 0.250 0.942
0.000 0.250 0.558
0.500 0.750 0.750
```

Output
As for the offset from the most stable computed form: 25 kJ/mol of formula units.